PuNiPdPb | PBE | optimized geometry

```
data_PuNiPdPb
_chemical_formula_sum 'Pu4 Ni4 Pd4 Pb4'
_space_group_name_H-M_alt 'F -4 3 m'
_space_group_IT_number 216
_space_group_name_Hall 'F -4 2 3'
_cell_length_a 6.825
_cell_length_b 6.825
_cell_length_c 6.825
_cell_angle_alpha 90.00
_cell_angle_beta 90.00
_cell_angle_gamma 90.00
loop_
_atom_site_label
_atom_site_type_symbol
_atom_site_fract_x
_atom_site_fract_y
_atom_site_fract_z
Pu1 Pu 0.000 0.000 0.000
Ni1 Ni 0.250 0.250 0.750
Pd1 Pd 0.250 0.250 0.250
Pb1 Pb 0.000 0.000 0.500
```

**Energy of formation from the pure elements**: -0.6 eV per formula unit
**DOS at the Fermi energy**: 55.4 states/eV/cell
**Size of the total moment**: 4.967 μB/f.u.



NiPdRhPb | PBE | optimized geometry

```
data_NiPdRhPb
_chemical_formula_sum 'Ni4 Pd4 Rh4 Pb4'
_space_group_name_H-M_alt 'F -4 3 m'
_space_group_IT_number 216
_space_group_name_Hall 'F -4 2 3'
_cell_length_a 6.352
_cell_length_b 6.352
_cell_length_c 6.352
_cell_angle_alpha 90.00
_cell_angle_beta 90.00
_cell_angle_gamma 90.00
loop_
_atom_site_label
_atom_site_type_symbol
_atom_site_fract_x
_atom_site_fract_y
_atom_site_fract_z
Ni1 Ni 0.000 0.000 0.000
Pd1 Pd 0.250 0.250 0.250
Rh1 Rh 0.250 0.250 0.750
Pb1 Pb 0.000 0.000 0.500
```

**Energy of formation from the pure elements**: 0.1 eV per formula unit
**DOS at the Fermi energy**: 17.0 states/eV/cell
**Size of the total moment**: 0.136 μB/f.u.



ScNiPdPb | PBE | optimized geometry

```
data_ScNiPdPb
_chemical_formula_sum 'Sc4 Ni4 Pd4 Pb4'
_space_group_name_H-M_alt 'F -4 3 m'
_space_group_IT_number 216
_space_group_name_Hall 'F -4 2 3'
_cell_length_a 6.558
_cell_length_b 6.558
_cell_length_c 6.558
_cell_angle_alpha 90.00
_cell_angle_beta 90.00
_cell_angle_gamma 90.00
loop_
_atom_site_label
_atom_site_type_symbol
_atom_site_fract_x
_atom_site_fract_y
_atom_site_fract_z
Sc1 Sc 0.000 0.000 0.000
Ni1 Ni 0.250 0.250 0.750
Pd1 Pd 0.250 0.250 0.250
Pb1 Pb 0.000 0.000 0.500
```

**Energy of formation from the pure elements**: -1.8 eV per formula unit
**DOS at the Fermi energy**: 11.2 states/eV/cell
**Size of the total moment**: 0.000 μB/f.u.



TbNiPdPb | PBE | optimized geometry

```
data_TbNiPdPb
_chemical_formula_sum 'Tb4 Ni4 Pd4 Pb4'
_space_group_name_H-M_alt 'F -4 3 m'
_space_group_IT_number 216
_space_group_name_Hall 'F -4 2 3'
_cell_length_a 6.782
_cell_length_b 6.782
_cell_length_c 6.782
_cell_angle_alpha 90.00
_cell_angle_beta 90.00
_cell_angle_gamma 90.00
loop_
_atom_site_label
_atom_site_type_symbol
_atom_site_fract_x
_atom_site_fract_y
_atom_site_fract_z
Tb1 Tb 0.000 0.000 0.000
Ni1 Ni 0.250 0.250 0.250
Pd1 Pd 0.250 0.250 0.750
Pb1 Pb 0.000 0.000 0.500
```

**Energy of formation from the pure elements**: -1.8 eV per formula unit
**DOS at the Fermi energy**: 12.7 states/eV/cell
**Size of the total moment**: 0.000 μB/f.u.



ThNiPdPb | PBE | optimized geometry

```
data_ThNiPdPb
_chemical_formula_sum 'Th4 Ni4 Pd4 Pb4'
_space_group_name_H-M_alt 'F -4 3 m'
_space_group_IT_number 216
_space_group_name_Hall 'F -4 2 3'
_cell_length_a 6.943
_cell_length_b 6.943
_cell_length_c 6.943
_cell_angle_alpha 90.00
_cell_angle_beta 90.00
_cell_angle_gamma 90.00
loop_
_atom_site_label
_atom_site_type_symbol
_atom_site_fract_x
_atom_site_fract_y
_atom_site_fract_z
Th1 Th 0.000 0.000 0.000
Ni1 Ni 0.250 0.250 0.250
Pd1 Pd 0.250 0.250 0.750
Pb1 Pb 0.000 0.000 0.500
```

**Energy of formation from the pure elements**: -1.7 eV per formula unit
**DOS at the Fermi energy**: 13.0 states/eV/cell
**Size of the total moment**: 0.000 μB/f.u.



TmNiPdPb | PBE | optimized geometry

```
data_TmNiPdPb
_chemical_formula_sum 'Tm4 Ni4 Pd4 Pb4'
_space_group_name_H-M_alt 'F -4 3 m'
_space_group_IT_number 216
_space_group_name_Hall 'F -4 2 3'
_cell_length_a 6.714
_cell_length_b 6.714
_cell_length_c 6.714
_cell_angle_alpha 90.00
_cell_angle_beta 90.00
_cell_angle_gamma 90.00
loop_
_atom_site_label
_atom_site_type_symbol
_atom_site_fract_x
_atom_site_fract_y
_atom_site_fract_z
Tm1 Tm 0.000 0.000 0.000
Ni1 Ni 0.250 0.250 0.250
Pd1 Pd 0.250 0.250 0.750
Pb1 Pb 0.000 0.000 0.500
```

**Energy of formation from the pure elements**: -1.9 eV per formula unit
**DOS at the Fermi energy**: 12.1 states/eV/cell
**Size of the total moment**: 0.000 μB/f.u.



| no. | electronic total energy (eV per atom) |
| --- | --- |
| 1 | -7.406 |
| 2 | -5.485 |
| 3 | -5.697 |
| 4 | -5.276 |
| 5 | -5.949 |
| 6 | -5.252 |